Record 1
Material: As2PSeO
Method: DFT, PBE
State: relaxed

Unit cell a=4.7260 b=4.7260 c=4.6986 alpha=90.00 beta=90.00 gamma=90.00
Closest atoms and distances in Å follow each position.
Space group P4/mmm (No. 123)
Asymmetric unit:
1 As 0.0000 0.5000 0.0000 (multiplicity 2)  2 P 2.36
2 P 0.0000 0.0000 0.0000 (multiplicity 1)  2 Se 2.35, 4 As 2.36
3 Se 0.0000 0.0000 0.5000 (multiplicity 1)  2 P 2.35
4 O 0.5000 0.5000 0.5000 (multiplicity 1)  8 As 3.33, 4 Se 3.34

Summary:
The density of states at the Fermi level is 1.6976 states/eV per atom. The calculation puts the uncorrected formation energy at 1.12 eV per atom. As for the energy relative to the lowest polymorph listed for this composition: 0.5222 eV per atom. The value obtained for the total energy is -3.506 eV/atom. The calculation puts the spin magnetization at 0.00 μB per cell.


Record 2
Material: Rb3In2Pb5
Method: DFT, PBE
State: relaxed

Unit cell a=13.0849 b=16.4467 c=7.5936 alpha=90.00 beta=90.00 gamma=90.00
Closest atoms and distances in Å follow each position.
Space group Ibam (No. 72)
Asymmetric unit:
1 Rb 0.0000 0.0000 0.2500 (multiplicity 4)  4 In 3.62, 2 Rb 3.80
2 Rb 0.2299 0.3726 0.0000 (multiplicity 8)  3 In 3.85-4.17, 6 Pb 4.02-4.13
3 In 0.1420 0.1495 0.0000 (multiplicity 8)  3 Pb 3.03-3.10
4 Pb 0.0000 0.2467 0.2500 (multiplicity 8)  2 In 3.10, 2 Pb 3.29
5 Pb 0.0000 0.5000 0.2500 (multiplicity 4)  4 Pb 3.27
6 Pb 0.1281 0.3743 0.5000 (multiplicity 8)  1 In 3.03, 4 Pb 3.27-3.29

Summary:
The density of states at the Fermi level is 0.4968 states/eV per atom. The calculation puts the formation energy at -0.040 eV per atom. The value obtained for the total energy is -2.732 eV/atom. The calculation puts the spin magnetization at 0.00 μB per cell.


Record 3
Material: AcAlCuSi2
Method: DFT, PBE
State: relaxed

Unit cell a=4.2457 b=4.2457 c=10.7286 alpha=90.00 beta=90.00 gamma=90.00
Closest atoms and distances in Å follow each position.
Space group I-4m2 (No. 119)
Asymmetric unit:
1 Ac 0.0000 0.0000 0.0000 (multiplicity 2)  8 Si 3.26, 4 Cu 3.42, 4 Al 3.42
2 Al 0.0000 0.5000 0.2500 (multiplicity 2)  4 Si 2.55
3 Cu 0.0000 0.5000 0.7500 (multiplicity 2)  4 Si 2.55
4 Si 0.0000 0.0000 0.3809 (multiplicity 4)  2 Al 2.55, 2 Cu 2.55, 1 Si 2.56

Summary:
The density of states at the Fermi level is 0.4737 states/eV per atom. The calculation puts the uncorrected formation energy at -0.41 eV per atom. The value obtained for the total energy is -4.970 eV/atom. The calculation puts the spin magnetization at 0.00 μB per cell.